Entry 1:
PBE-GGA Ac2La2PmPr4, relaxed; V = 38.297 Å³ per atom; total DFT energy (no corrections) = -4.640 eV per atom; space group = C2/m, No. 12
1.0
3.821 0.000 0.000
-1.911 9.847 -0.477
0.000 -3.955 9.352
Pr Ac Pm La
4 2 1 2
direct
0.184 0.368 0.332 Pr
0.482 0.964 0.678 Pr
0.816 0.632 0.668 Pr
0.518 0.036 0.322 Pr
0.146 0.292 0.666 Ac
0.854 0.708 0.334 Ac
0.000 0.000 0.000 Pm
0.335 0.669 0.997 La
0.665 0.331 0.003 La

=====

Entry 2:
PBE-GGA AcLa2PmPr6, relaxed; V = 37.399 Å³ per atom; total DFT energy (no corrections) = -4.631 eV per atom; space group = C2/c, No. 15
1.0
9.620 -2.219 -2.302
0.899 8.891 -2.133
0.899 -2.462 8.806
Pr Ac La Pm
12 2 4 2
direct
0.946 0.877 0.259 Pr
0.882 0.296 0.500 Pr
0.382 0.500 0.296 Pr
0.188 0.568 0.020 Pr
0.688 0.020 0.568 Pr
0.054 0.123 0.741 Pr
0.554 0.741 0.123 Pr
0.618 0.500 0.704 Pr
0.312 0.980 0.432 Pr
0.812 0.432 0.980 Pr
0.118 0.704 0.500 Pr
0.446 0.259 0.877 Pr
0.250 0.982 0.018 Ac
0.750 0.018 0.982 Ac
0.957 0.695 0.807 La
0.043 0.305 0.193 La
0.457 0.807 0.695 La
0.543 0.193 0.305 La
0.750 0.594 0.406 Pm
0.250 0.406 0.594 Pm

=====

Entry 3:
PBE-GGA AcLaPm4Pr2, relaxed; V = 36.559 Å³ per atom; total DFT energy (no corrections) = -4.678 eV per atom; space group = P1, No. 1
1.0
-5.291 4.667 2.475
-4.746 0.890 -11.912
4.784 -10.002 6.511
Pm Pr La Ac
8 4 2 2
direct
0.745 0.246 0.995 Pm
0.253 0.754 0.503 Pm
0.246 0.246 0.995 Pm
0.256 0.754 0.005 Pm
0.754 0.754 0.503 Pm
0.747 0.246 0.497 Pm
0.754 0.754 0.005 Pm
0.245 0.246 0.496 Pm
0.500 0.500 0.000 Pr
0.499 0.000 0.000 Pr
0.500 0.000 0.500 Pr
0.001 0.000 0.500 Pr
0.000 0.000 0.000 La
0.501 0.500 0.500 La
0.000 0.500 0.500 Ac
0.999 0.500 0.000 Ac

=====

Entry 4:
PBE-GGA AcLa5PmPr2, relaxed; V = 37.440 Å³ per atom; total DFT energy (no corrections) = -4.571 eV per atom; space group = I4/mcm, No. 140
1.0
9.170 0.000 0.000
0.000 9.170 0.000
-4.585 -4.585 8.014
Ac La Pm Pr
2 10 2 4
direct
0.250 0.250 0.500 Ac
0.750 0.750 0.500 Ac
0.332 0.832 0.267 La
0.668 0.168 0.733 La
0.936 0.436 0.267 La
0.564 0.668 0.733 La
0.500 0.500 0.000 La
0.168 0.064 0.733 La
0.064 0.564 0.733 La
0.436 0.332 0.267 La
0.000 0.000 0.000 La
0.832 0.936 0.267 La
0.750 0.250 0.500 Pm
0.250 0.750 0.500 Pm
0.619 0.119 0.000 Pr
0.119 0.381 0.000 Pr
0.881 0.619 0.000 Pr
0.381 0.881 0.000 Pr

=====

Entry 5:
PBE-GGA Ac2LaPmPr2, relaxed; V = 38.829 Å³ per atom; total DFT energy (no corrections) = -4.520 eV per atom; space group = Pmc2_1, No. 26
1.0
6.022 0.000 0.000
0.000 7.456 0.000
0.000 0.000 10.378
Pm Pr La Ac
2 4 2 4
direct
0.500 0.757 0.334 Pm
0.500 0.257 0.666 Pm
0.500 0.257 0.343 Pr
0.000 0.258 0.826 Pr
0.500 0.757 0.657 Pr
0.000 0.758 0.174 Pr
0.000 0.007 0.500 La
0.000 0.507 0.500 La
0.000 0.258 0.171 Ac
0.500 0.508 0.000 Ac
0.000 0.758 0.829 Ac
0.500 0.008 0.000 Ac

=====

Entry 6:
PBE-GGA AcLaPmPr, relaxed; V = 38.184 Å³ per atom; energy relative to the lowest polymorph listed for this composition = 0.00 eV per formula unit; space group = I-4m2, No. 119
1.0
-2.648 -4.056 2.225
3.679 -0.291 3.847
-3.345 5.649 -0.068
Ac Pm La Pr
1 1 1 1
direct
0.446 0.446 0.891 Ac
0.945 0.945 0.891 Pm
0.696 0.196 0.391 La
0.196 0.696 0.391 Pr

=====

Entry 7:
PBE-GGA AcLaPm2Pr5, relaxed; V = 38.018 Å³ per atom; total DFT energy (no corrections) = -4.584 eV per atom; space group = Cmc2_1, No. 36
1.0
5.770 0.000 0.000
-2.885 12.260 0.000
0.000 0.000 9.674
Pr Ac Pm La
10 2 4 2
direct
0.259 0.518 0.359 Pr
0.524 0.048 0.251 Pr
0.741 0.482 0.859 Pr
0.476 0.952 0.751 Pr
0.311 0.621 0.730 Pr
0.397 0.793 0.034 Pr
0.689 0.379 0.230 Pr
0.005 0.010 0.524 Pr
0.995 0.990 0.024 Pr
0.603 0.207 0.534 Pr
0.603 0.206 0.929 Ac
0.397 0.794 0.429 Ac
0.168 0.336 0.676 Pm
0.112 0.223 0.286 Pm
0.832 0.664 0.176 Pm
0.888 0.777 0.786 Pm
0.234 0.468 0.036 La
0.766 0.532 0.536 La

=====

Entry 8:
PBE-GGA AcLaPm2Pr, relaxed; V = 37.799 Å³ per atom; total DFT energy (no corrections) = -4.622 eV per atom; space group = P2_1/m, No. 11
1.0
-0.377 1.968 -5.720
-3.354 -5.432 -1.648
-9.792 1.691 1.227
Ac Pm Pr La
2 4 2 2
direct
0.250 0.437 0.800 Ac
0.750 0.563 0.200 Ac
0.750 0.775 0.793 Pm
0.250 0.037 0.596 Pm
0.750 0.963 0.404 Pm
0.250 0.225 0.207 Pm
0.750 0.360 0.599 Pr
0.250 0.640 0.401 Pr
0.750 0.162 0.004 La
0.250 0.838 0.996 La

=====

Entry 9:
PBE-GGA Ac2La2PmPr, relaxed; V = 39.804 Å³ per atom; total DFT energy (no corrections) = -4.368 eV per atom; space group = Pnnm, No. 58
1.0
-1.203 -0.212 -3.455
-3.934 -5.404 1.702
-14.229 11.693 4.235
Pm La Ac Pr
2 4 4 2
direct
0.000 0.000 0.500 Pm
0.500 0.500 0.000 Pm
0.000 0.288 0.862 La
0.500 0.788 0.638 La
0.500 0.212 0.362 La
0.000 0.712 0.138 La
0.000 0.780 0.812 Ac
0.500 0.720 0.312 Ac
0.500 0.280 0.688 Ac
0.000 0.220 0.188 Ac
0.500 0.500 0.500 Pr
0.000 0.000 0.000 Pr

=====

Entry 10:
PBE-GGA AcLa6Pm2Pr, relaxed; V = 37.189 Å³ per atom; total DFT energy (no corrections) = -4.626 eV per atom; space group = C2/m, No. 12
1.0
-3.815 -9.098 2.619
5.801 -3.085 -2.267
0.236 4.449 5.205
La Ac Pr Pm
6 1 1 2
direct
0.829 0.462 0.377 La
0.578 0.358 0.715 La
0.829 0.915 0.377 La
0.422 0.642 0.285 La
0.171 0.085 0.623 La
0.171 0.538 0.623 La
0.500 0.000 0.000 Ac
0.000 0.500 0.000 Pr
0.193 0.066 0.132 Pm
0.807 0.934 0.868 Pm

=====

Entry 11:
PBE-GGA Ac2La5PmPr, relaxed; V = 38.807 Å³ per atom; total DFT energy (no corrections) = -4.598 eV per atom; space group = Cmc2_1, No. 36
1.0
5.934 0.000 0.000
-2.967 10.662 0.000
0.000 0.000 11.040
La Pm Ac Pr
10 2 4 2
direct
0.280 0.559 0.318 La
0.707 0.414 0.201 La
0.982 0.964 0.518 La
0.293 0.586 0.701 La
0.514 0.028 0.243 La
0.486 0.972 0.743 La
0.389 0.778 0.020 La
0.720 0.441 0.818 La
0.018 0.036 0.018 La
0.611 0.222 0.520 La
0.793 0.586 0.510 Pm
0.207 0.414 0.010 Pm
0.117 0.234 0.315 Ac
0.116 0.232 0.731 Ac
0.884 0.768 0.231 Ac
0.883 0.766 0.815 Ac
0.407 0.814 0.467 Pr
0.593 0.186 0.967 Pr

=====

Entry 12:
PBE-GGA Ac6La3PmPr2, relaxed; V = 40.507 Å³ per atom; total DFT energy (no corrections) = -4.455 eV per atom; space group = C2/m, No. 12
1.0
6.725 -0.005 0.005
-3.365 5.822 0.005
-1.136 -1.967 12.416
Ac Pr La Pm
6 2 3 1
direct
0.415 0.083 0.248 Ac
0.585 0.917 0.752 Ac
0.750 0.750 0.247 Ac
0.250 0.250 0.753 Ac
0.917 0.585 0.752 Ac
0.083 0.415 0.248 Ac
0.667 0.333 0.000 Pr
0.333 0.667 0.000 Pr
0.833 0.167 0.500 La
0.167 0.833 0.500 La
0.500 0.500 0.500 La
0.000 0.000 0.000 Pm

=====

V of number 8 (AcLaPm2Pr)? 37.799 Å³ per atom

=====

What is the V in the eleventh record? 38.807 Å³ per atom

=====

What is the formula in the eleventh record? Ac2La5PmPr

=====

What did the third record say?
PBE-GGA AcLaPm4Pr2, relaxed; V = 36.559 Å³ per atom; total DFT energy (no corrections) = -4.678 eV per atom; space group = P1, No. 1
1.0
-5.291 4.667 2.475
-4.746 0.890 -11.912
4.784 -10.002 6.511
Pm Pr La Ac
8 4 2 2
direct
0.745 0.246 0.995 Pm
0.253 0.754 0.503 Pm
0.246 0.246 0.995 Pm
0.256 0.754 0.005 Pm
0.754 0.754 0.503 Pm
0.747 0.246 0.497 Pm
0.754 0.754 0.005 Pm
0.245 0.246 0.496 Pm
0.500 0.500 0.000 Pr
0.499 0.000 0.000 Pr
0.500 0.000 0.500 Pr
0.001 0.000 0.500 Pr
0.000 0.000 0.000 La
0.501 0.500 0.500 La
0.000 0.500 0.500 Ac
0.999 0.500 0.000 Ac